! SCAN Ba3IF, PBEsol geometry; values from VASP
! **Raw formation energy**: -1.3757 eV/atom
! **Symmetry**: Pm-3m, No. 221
! **Total magnetic moment**: 0.73 μB per atom
&SYSTEM
  ibrav = 0, nat = 5, ntyp = 3
/
ATOMIC_SPECIES
Ba 137.33 Ba.upf
I 126.90 I.upf
F 19.00 F.upf
ATOMIC_POSITIONS angstrom
Ba 0.000 0.000 2.769
Ba 0.000 2.769 0.000
Ba 2.769 0.000 0.000
I 2.769 2.769 2.769
F 0.000 0.000 0.000
CELL_PARAMETERS angstrom
5.539 0.000 0.000
0.000 5.539 0.000
0.000 0.000 5.539



! SCAN BaI2F, PBEsol geometry; values from VASP
! **Raw formation energy**: -1.6200 eV/atom
! **Symmetry**: I-42d, No. 122
! **Total magnetic moment**: 0.00 μB per atom
&SYSTEM
  ibrav = 0, nat = 8, ntyp = 3
/
ATOMIC_SPECIES
Ba 137.33 Ba.upf
I 126.90 I.upf
F 19.00 F.upf
ATOMIC_POSITIONS angstrom
Ba 0.000 0.000 0.000
Ba 0.000 2.326 6.101
I 1.163 -1.148 9.152
I 1.177 1.163 3.051
I 1.163 3.474 -3.051
I 1.148 1.163 15.253
F 2.326 0.000 6.101
F 0.000 0.000 12.203
CELL_PARAMETERS angstrom
-2.326 2.326 12.203
2.326 -2.326 12.203
2.326 2.326 -12.203



! SCAN BaIN2F, PBEsol geometry; values from VASP
! **Raw formation energy**: 0.9415 eV/atom
! **Symmetry**: P4/mmm, No. 123
! **Total magnetic moment**: 1.20 μB per atom
&SYSTEM
  ibrav = 0, nat = 5, ntyp = 4
/
ATOMIC_SPECIES
Ba 137.33 Ba.upf
I 126.90 I.upf
N 14.01 N.upf
F 19.00 F.upf
ATOMIC_POSITIONS angstrom
Ba 0.000 0.000 0.000
I 0.000 0.000 3.326
N 0.000 2.690 0.000
N 2.690 0.000 0.000
F 2.690 2.690 3.326
CELL_PARAMETERS angstrom
5.380 0.000 0.000
0.000 5.380 0.000
0.000 0.000 6.651



! SCAN BaI2NF, PBEsol geometry; values from VASP
! **Raw formation energy**: 0.0899 eV/atom
! **Symmetry**: P4/mmm, No. 123
! **Total magnetic moment**: 0.80 μB per atom
&SYSTEM
  ibrav = 0, nat = 5, ntyp = 4
/
ATOMIC_SPECIES
Ba 137.33 Ba.upf
I 126.90 I.upf
N 14.01 N.upf
F 19.00 F.upf
ATOMIC_POSITIONS angstrom
Ba 0.000 0.000 0.000
I 0.000 3.322 0.000
I 3.322 0.000 0.000
N 0.000 0.000 2.718
F 3.322 3.322 2.718
CELL_PARAMETERS angstrom
6.645 0.000 0.000
0.000 6.645 0.000
0.000 0.000 5.437



! SCAN BaRhI2F, PBEsol geometry; values from VASP
! **Raw formation energy**: -1.3029 eV/atom
! **Symmetry**: P4/mmm, No. 123
! **Total magnetic moment**: 0.00 μB per atom
&SYSTEM
  ibrav = 0, nat = 5, ntyp = 4
/
ATOMIC_SPECIES
Ba 137.33 Ba.upf
Rh 102.91 Rh.upf
I 126.90 I.upf
F 19.00 F.upf
ATOMIC_POSITIONS angstrom
Ba 0.000 0.000 0.000
Rh 2.708 2.708 2.222
I 0.000 2.708 2.222
I 2.708 0.000 2.222
F 2.708 2.708 0.000
CELL_PARAMETERS angstrom
5.416 0.000 0.000
0.000 5.416 0.000
0.000 0.000 4.444



! SCAN BaSbI2F, PBEsol geometry; values from VASP
! **Raw formation energy**: -1.1924 eV/atom
! **Symmetry**: P4/mmm, No. 123
! **Total magnetic moment**: 0.00 μB per atom
&SYSTEM
  ibrav = 0, nat = 5, ntyp = 4
/
ATOMIC_SPECIES
Ba 137.33 Ba.upf
Sb 121.76 Sb.upf
I 126.90 I.upf
F 19.00 F.upf
ATOMIC_POSITIONS angstrom
Ba 0.000 0.000 0.000
Sb 2.954 2.954 0.000
I 0.000 2.954 2.181
I 2.954 0.000 2.181
F 2.954 2.954 2.181
CELL_PARAMETERS angstrom
5.907 0.000 0.000
0.000 5.907 0.000
0.000 0.000 4.362